DFT (PBE-GGA) results for a relaxed structure of CeTiCu.

Output
- Formation enthalpy at 0 K: 58 kJ/mol of formula units
- Mass density: 6989 kg/m³
- SG: P-6m2
- ΔE to the lowest computed polymorph: 23.1 kJ per mole of atoms
- Total moment: 0.0 μB per formula unit

a = 3.260 Å, b = 4.601 Å, c = 4.601 Å
α = 120.00°, β = 90.00°, γ = 90.00°
Fractional positions:
Ce 0.667 0.667 0.333
Cu 0.167 0.333 0.667
Ti 0.166 0.000 0.000

DFT (PBE-GGA) results for a relaxed structure of Ce11Tl9Cu4.

Output
- Formation enthalpy at 0 K: -445 kJ/mol of formula units
- Mass density: 9618 kg/m³
- SG: Cmmm
- Total moment: 10.8 μB per formula unit

a = 3.720 Å, b = 13.382 Å, c = 13.382 Å
α = 109.60°, β = 90.00°, γ = 90.00°
Fractional positions:
Ce 0.000 0.850 0.150
Ce 0.000 0.371 0.629
Cu 0.500 0.547 0.755
Ce 0.000 0.570 0.940
Tl 0.500 0.360 0.839
Cu 0.500 0.755 0.547
Tl 0.500 0.640 0.161
Tl 0.500 0.773 0.921
Tl 0.500 0.161 0.640
Tl 0.500 0.079 0.227
Tl 0.500 0.227 0.079
Ce 0.000 0.311 0.311
Ce 0.000 0.430 0.060
Ce 0.000 0.940 0.570
Tl 0.500 0.921 0.773
Tl 0.500 0.839 0.360
Ce 0.000 0.060 0.430
Tl 0.500 0.500 0.500
Ce 0.000 0.629 0.371
Cu 0.500 0.453 0.245
Ce 0.000 0.150 0.850
Ce 0.000 0.689 0.689
Ce 0.000 0.000 0.000
Cu 0.500 0.245 0.453

DFT (PBE-GGA) results for a relaxed structure of CeTl2Cu.

Output
- Formation enthalpy at 0 K: 56 kJ/mol of formula units
- Mass density: 10103 kg/m³
- SG: R-3m
- ΔE to the lowest computed polymorph: 30.6 kJ per mole of atoms
- Total moment: 1.2 μB per formula unit

a = 3.567 Å, b = 3.567 Å, c = 9.367 Å
α = 79.03°, β = 79.03°, γ = 60.00°
Fractional positions:
Cu 0.500 0.500 0.500
Tl 0.766 0.766 0.703
Tl 0.234 0.234 0.297
Ce 0.000 0.000 0.000

DFT (PBE-GGA) results for a relaxed structure of CeTl2Cu.

Output
- Formation enthalpy at 0 K: -66 kJ/mol of formula units
- Mass density: 10554 kg/m³
- SG: I4/mmm
- ΔE to the lowest computed polymorph: 0.0 kJ per mole of atoms
- Total moment: 0.7 μB per formula unit

a = 4.795 Å, b = 4.795 Å, c = 9.042 Å
α = 105.38°, β = 105.38°, γ = 90.00°
Fractional positions:
Tl 0.346 0.346 0.692
Ce 0.857 0.857 0.714
Tl 0.000 0.500 0.000
Cu 0.750 0.250 0.500
Ce 0.143 0.143 0.286
Cu 0.250 0.750 0.500
Tl 0.500 0.000 0.000
Tl 0.654 0.654 0.308